# 1
VASP calculation (GGA-PBEsol) on a relaxed structure of Sc3NbI.

Summary:
Formation energy without anion corrections = 0.544 eV/atom
Calculated total energy = -29.685 eV for the cell shown
Magnetization = 0.000 μB per atom

Cell: 5.1273 5.1273 5.1273 Å, 90.00 90.00 90.00°
Closest atoms and distances in Å follow each position.
Sites, in units of the cell vectors:
1 I 0.5000 0.5000 0.5000  12 Sc 3.63
2 Sc 0.0000 0.5000 0.0000  2 Nb 2.56
3 Sc 0.0000 0.0000 0.5000  2 Nb 2.56
4 Sc 0.5000 0.0000 0.0000  2 Nb 2.56
5 Nb 0.0000 0.0000 0.0000  6 Sc 2.56



# 2
VASP calculation (GGA-PBEsol) on a relaxed structure of Sc2NbSiI.

Summary:
Formation energy without anion corrections = 1.236 eV/atom
Calculated total energy = -25.367 eV for the cell shown
Magnetization = 0.321 μB per atom

Cell: 5.0920 5.0920 5.0914 Å, 90.00 90.00 90.00°
Closest atoms and distances in Å follow each position.
Sites, in units of the cell vectors:
1 I 0.0000 0.0000 0.0000  2 Si 2.55, 4 Sc 2.55
2 Sc 0.0000 0.5000 0.0000  2 I 2.55
3 Sc 0.5000 0.0000 0.0000  2 I 2.55
4 Nb 0.5000 0.5000 0.5000  8 Sc 3.60, 4 Si 3.60
5 Si 0.0000 0.0000 0.5000  2 I 2.55



# 3
VASP calculation (GGA-PBEsol) on a relaxed structure of NbSeI2.

Summary:
Formation energy without anion corrections = -0.217 eV/atom
Calculated total energy = -38.145 eV for the cell shown
Magnetization = 0.238 μB per atom

Cell: 4.9343 7.6287 7.6287 Å, 84.00 71.13 71.13°
Closest atoms and distances in Å follow each position.
Sites, in units of the cell vectors:
1 I 0.7658 0.8592 0.3592  2 Nb 2.85
2 I 0.9842 0.1408 0.6408  2 Nb 2.85
3 I 0.3750 0.6408 0.8592  2 Nb 2.85
4 I 0.8750 0.3592 0.1408  2 Nb 2.85
5 Nb 0.0000 0.0000 0.0000  2 Se 2.47
6 Nb 0.7500 0.5000 0.5000  2 Se 2.47
7 Se 0.5000 0.0000 0.0000  2 Nb 2.47
8 Se 0.2500 0.5000 0.5000  2 Nb 2.47



# 4
VASP calculation (GGA-PBEsol) on a relaxed structure of NbSeI3.

Summary:
Formation energy without anion corrections = -0.524 eV/atom
Calculated total energy = -90.360 eV for the cell shown
Magnetization = 0.000 μB per atom

Cell: 6.9635 7.8164 13.6356 Å, 85.51 79.88 63.55°
Closest atoms and distances in Å follow each position.
Sites, in units of the cell vectors:
1 Nb 0.0068 0.1228 0.8440  2 Se 2.58-2.63, 3 I 2.77-2.85, 1 Nb 2.89
2 Nb 0.8704 0.1228 0.6560  2 Se 2.58-2.63, 3 I 2.77-2.85, 1 Nb 2.89
3 Nb 0.9932 0.8772 0.1560  2 Se 2.58-2.63, 3 I 2.77-2.85, 1 Nb 2.89
4 Nb 0.1296 0.8772 0.3440  2 Se 2.58-2.63, 3 I 2.77-2.85, 1 Nb 2.89
5 Se 0.6470 0.3823 0.7955  1 Se 2.37, 2 Nb 2.58-2.63
6 Se 0.9707 0.3823 0.7045  1 Se 2.37, 2 Nb 2.58-2.63
7 Se 0.3530 0.6177 0.2045  1 Se 2.37, 2 Nb 2.58-2.63
8 Se 0.0293 0.6177 0.2955  1 Se 2.37, 2 Nb 2.58-2.63
9 I 0.2587 0.8005 0.9650  2 Nb 2.85-2.93
10 I 0.9408 0.8005 0.5350  2 Nb 2.85-2.93
11 I 0.7413 0.1995 0.0350  2 Nb 2.85-2.93
12 I 0.0592 0.1995 0.4650  2 Nb 2.85-2.93
13 I 0.2324 0.2945 0.9105  1 Nb 2.77
14 I 0.4732 0.2945 0.5895  1 Nb 2.77
15 I 0.7676 0.7055 0.0895  1 Nb 2.77
16 I 0.5268 0.7055 0.4105  1 Nb 2.77
17 I 0.3124 0.8915 0.6910  2 Nb 2.78-2.90
18 I 0.7962 0.8915 0.8090  2 Nb 2.78-2.90
19 I 0.6876 0.1085 0.3090  2 Nb 2.78-2.90
20 I 0.2038 0.1085 0.1910  2 Nb 2.78-2.90



# 5
VASP calculation (GGA-PBEsol) on a relaxed structure of Nb3Se12I.

Summary:
Formation energy without anion corrections = -0.564 eV/atom
Calculated total energy = -357.862 eV for the cell shown
Magnetization = 0.000 μB per atom

Cell: 9.3535 9.3535 19.0791 Å, 90.00 90.00 90.00°
Closest atoms and distances in Å follow each position.
Sites, in units of the cell vectors:
1 Nb 0.5000 0.0000 0.7500  8 Se 2.58-2.73
2 Nb 0.0000 0.5000 0.7500  8 Se 2.58-2.73
3 Nb 0.5000 0.0000 0.2500  8 Se 2.58-2.73
4 Nb 0.0000 0.5000 0.2500  8 Se 2.58-2.73
5 Nb 0.0000 0.5000 0.5807  8 Se 2.63-2.72
6 Nb 0.5000 0.0000 0.5807  8 Se 2.63-2.72
7 Nb 0.5000 0.0000 0.9193  8 Se 2.63-2.72
8 Nb 0.0000 0.5000 0.9193  8 Se 2.63-2.72
9 Nb 0.0000 0.5000 0.4193  8 Se 2.63-2.72
10 Nb 0.5000 0.0000 0.4193  8 Se 2.63-2.72
11 Nb 0.5000 0.0000 0.0807  8 Se 2.63-2.72
12 Nb 0.0000 0.5000 0.0807  8 Se 2.63-2.72
13 Se 0.9497 0.2817 0.6713  1 Se 2.41, 1 Nb 2.58
14 Se 0.0503 0.7183 0.6713  1 Se 2.41, 1 Nb 2.58
15 Se 0.7817 0.4497 0.8287  1 Se 2.41, 1 Nb 2.58
16 Se 0.2817 0.0503 0.6713  1 Se 2.41, 1 Nb 2.58
17 Se 0.7183 0.9497 0.6713  1 Se 2.41, 1 Nb 2.58
18 Se 0.5503 0.7817 0.8287  1 Se 2.41, 1 Nb 2.58
19 Se 0.4497 0.2183 0.8287  1 Se 2.41, 1 Nb 2.58
20 Se 0.2183 0.5503 0.8287  1 Se 2.41, 1 Nb 2.58
21 Se 0.0503 0.7183 0.3287  1 Se 2.41, 1 Nb 2.58
22 Se 0.9497 0.2817 0.3287  1 Se 2.41, 1 Nb 2.58
23 Se 0.2183 0.5503 0.1713  1 Se 2.41, 1 Nb 2.58
24 Se 0.7183 0.9497 0.3287  1 Se 2.41, 1 Nb 2.58
25 Se 0.2817 0.0503 0.3287  1 Se 2.41, 1 Nb 2.58
26 Se 0.4497 0.2183 0.1713  1 Se 2.41, 1 Nb 2.58
27 Se 0.5503 0.7817 0.1713  1 Se 2.41, 1 Nb 2.58
28 Se 0.2023 0.6110 0.5000  1 Se 2.36
29 Se 0.7817 0.4497 0.1713  1 Se 2.41, 1 Nb 2.58
30 Se 0.6900 0.1271 0.1608  1 Se 2.41, 1 Nb 2.63
31 Se 0.3100 0.8729 0.1608  1 Se 2.41, 1 Nb 2.63
32 Se 0.6271 0.1900 0.3392  1 Se 2.41, 1 Nb 2.63
33 Se 0.3729 0.8100 0.3392  1 Se 2.41, 1 Nb 2.63
34 Se 0.8729 0.6900 0.1608  1 Se 2.41, 1 Nb 2.63
35 Se 0.8100 0.6271 0.3392  1 Se 2.41, 1 Nb 2.63
36 Se 0.1900 0.3729 0.3392  1 Se 2.41, 1 Nb 2.63
37 Se 0.8729 0.6900 0.8392  1 Se 2.41, 1 Nb 2.63
38 Se 0.3100 0.8729 0.8392  1 Se 2.41, 1 Nb 2.63
39 Se 0.6900 0.1271 0.8392  1 Se 2.41, 1 Nb 2.63
40 Se 0.3729 0.8100 0.6608  1 Se 2.41, 1 Nb 2.63
41 Se 0.6271 0.1900 0.6608  1 Se 2.41, 1 Nb 2.63
42 Se 0.1271 0.3100 0.8392  1 Se 2.41, 1 Nb 2.63
43 Se 0.1900 0.3729 0.6608  1 Se 2.41, 1 Nb 2.63
44 Se 0.8100 0.6271 0.6608  1 Se 2.41, 1 Nb 2.63
45 Se 0.2272 0.4778 0.0000  1 Se 2.36, 2 Nb 2.63
46 Se 0.5222 0.2272 0.0000  1 Se 2.36, 2 Nb 2.63
47 Se 0.4778 0.7728 0.0000  1 Se 2.36, 2 Nb 2.63
48 Se 0.7272 0.0222 0.5000  1 Se 2.36, 2 Nb 2.63
49 Se 0.2728 0.9778 0.5000  1 Se 2.36, 2 Nb 2.63
50 Se 0.7728 0.5222 0.0000  1 Se 2.36, 2 Nb 2.63
51 Se 0.9778 0.7272 0.5000  1 Se 2.36, 2 Nb 2.63
52 Se 0.0222 0.2728 0.5000  1 Se 2.36, 2 Nb 2.63
53 Se 0.8890 0.2977 0.0000  1 Se 2.36
54 Se 0.7023 0.8890 0.0000  1 Se 2.36
55 Se 0.2977 0.1110 0.0000  1 Se 2.36
56 Se 0.3890 0.2023 0.5000  1 Se 2.36
57 Se 0.6110 0.7977 0.5000  1 Se 2.36
58 Se 0.1110 0.7023 0.0000  1 Se 2.36
59 Se 0.7977 0.3890 0.5000  1 Se 2.36
60 Se 0.1271 0.3100 0.1608  1 Se 2.41, 1 Nb 2.63
61 I 0.5000 0.5000 0.6264  4 Se 3.20
62 I 0.0000 0.0000 0.8736  4 Se 3.20
63 I 0.5000 0.5000 0.3736  4 Se 3.20
64 I 0.0000 0.0000 0.1264  4 Se 3.20



# 6
VASP calculation (GGA-PBEsol) on a relaxed structure of NbSe2I2.

Summary:
Formation energy without anion corrections = -0.579 eV/atom
Calculated total energy = -49.898 eV for the cell shown
Magnetization = 0.000 μB per atom

Cell: 6.9585 6.9585 7.4007 Å, 99.29 99.29 118.93°
Closest atoms and distances in Å follow each position.
Sites, in units of the cell vectors:
1 I 0.9639 0.5562 0.2330  2 Nb 2.94-2.95
2 I 0.0361 0.4438 0.7670  2 Nb 2.94-2.95
3 I 0.5562 0.9639 0.2330  2 Nb 2.94-2.95
4 I 0.4438 0.0361 0.7670  2 Nb 2.94-2.95
5 Nb 0.8776 0.1224 0.0000  4 Se 2.62-2.63
6 Nb 0.1224 0.8776 0.0000  4 Se 2.62-2.63
7 Se 0.8824 0.8824 0.6887  1 Se 2.30
8 Se 0.6781 0.6781 0.8770  1 Se 2.30
9 Se 0.3219 0.3219 0.1230  1 Se 2.30
10 Se 0.1176 0.1176 0.3113  1 Se 2.30



# 7
VASP calculation (GGA-PBEsol) on a relaxed structure of NbW2SeI.

Summary:
Formation energy without anion corrections = 2.512 eV/atom
Calculated total energy = -31.495 eV for the cell shown
Magnetization = 0.000 μB per atom

Cell: 4.8400 4.8400 4.9689 Å, 90.00 90.00 90.00°
Closest atoms and distances in Å follow each position.
Sites, in units of the cell vectors:
1 I 0.0000 0.0000 0.0000  4 W 2.42, 2 Nb 2.48
2 Nb 0.0000 0.0000 0.5000  2 I 2.48
3 Se 0.5000 0.5000 0.5000  4 Nb 3.42, 8 W 3.47
4 W 0.0000 0.5000 0.0000  2 I 2.42
5 W 0.5000 0.0000 0.0000  2 I 2.42



# 8
VASP calculation (GGA-PBEsol) on a relaxed structure of ZrNb2SnI.

Summary:
Formation energy without anion corrections = 1.209 eV/atom
Calculated total energy = -30.715 eV for the cell shown
Magnetization = 0.000 μB per atom

Cell: 4.9668 4.9668 5.1435 Å, 90.00 90.00 90.00°
Closest atoms and distances in Å follow each position.
Sites, in units of the cell vectors:
1 I 0.0000 0.0000 0.0000  4 Nb 2.48, 2 Zr 2.57
2 Nb 0.0000 0.5000 0.0000  2 I 2.48
3 Nb 0.5000 0.0000 0.0000  2 I 2.48
4 Sn 0.5000 0.5000 0.5000  4 Zr 3.51, 8 Nb 3.58
5 Zr 0.0000 0.0000 0.5000  2 I 2.57



Look up the magnetization of the third one. 0.238 μB per atom